A geometry-optimized CsNaCo structure, computed with PBE.

The structure in POSCAR format:
```
CsNaCo
1.0
0.0000 4.2416 4.2416
4.2416 0.0000 4.2416
4.2416 4.2416 0.0000
Cs Na Co
1 1 1
Direct
0.0000 0.0000 0.0000 Cs
0.2500 0.2500 0.2500 Na
0.7500 0.7500 0.7500 Co
```

Output
The crystal system is cubic. Its symmetry is F-43m (216). Its uncorrected energy is -5.2 eV/cell.


A geometry-optimized CsNaCo structure, computed with PBE.

The structure in POSCAR format:
```
CsNaCo
1.0
0.0000 3.9771 3.9771
3.9771 0.0000 3.9771
3.9771 3.9771 0.0000
Cs Na Co
1 1 1
Direct
0.0000 0.0000 0.0000 Cs
0.7500 0.7500 0.7500 Na
0.5000 0.5000 0.5000 Co
```

Output
The crystal system is cubic. Its symmetry is F-43m (216). Its uncorrected energy is -5.9 eV/cell.


A geometry-optimized CsNaCoRe structure, computed with PBE.

The structure in POSCAR format:
```
CsNaCoRe
1.0
0.0000 3.7292 3.7292
3.7292 0.0000 3.7292
3.7292 3.7292 0.0000
Cs Na Co Re
1 1 1 1
Direct
0.0000 0.0000 0.0000 Cs
0.5000 0.5000 0.5000 Na
0.2500 0.2500 0.2500 Co
0.7500 0.7500 0.7500 Re
```

Output
The crystal system is cubic. Its symmetry is F-43m (216). Its uncorrected energy is -12.9 eV/cell.


A geometry-optimized CsNaCoRe structure, computed with PBE.

The structure in POSCAR format:
```
CsNaCoRe
1.0
0.0000 3.4078 3.4078
3.4078 0.0000 3.4078
3.4078 3.4078 0.0000
Cs Na Co Re
1 1 1 1
Direct
0.0000 0.0000 0.0000 Cs
0.2500 0.2500 0.2500 Na
0.5000 0.5000 0.5000 Co
0.7500 0.7500 0.7500 Re
```

Output
The crystal system is cubic. Its symmetry is F-43m (216). Its uncorrected energy is -14.3 eV/cell.


Number 1: volume 152.62 Å³ per cell. Number 2: volume 125.81 Å³ per cell. Number 3: volume 103.73 Å³ per cell. Number 4: volume 79.15 Å³ per cell.